Entry 1:
DFT (PBE-GGA) results for a relaxed CeErSnPd crystal.

```
data_CeErSnPd
_chemical_formula_sum 'Ce4 Er4 Sn4 Pd4'
_cell_length_a 7.381
_cell_length_b 7.381
_cell_length_c 7.381
_cell_angle_alpha 90.00
_cell_angle_beta 90.00
_cell_angle_gamma 90.00
_space_group_name_H-M_alt 'F -4 3 m'
_space_group_IT_number 216
_space_group_name_Hall 'F -4 2 3'
loop_
_atom_site_label
_atom_site_fract_x
_atom_site_fract_y
_atom_site_fract_z
Ce1 0.000 0.000 0.000
Er1 0.000 0.000 0.500
Sn1 0.250 0.250 0.250
Pd1 0.250 0.250 0.750
```

Properties
Magnetization = 1.13 μB per formula unit


Entry 2:
DFT (PBE-GGA) results for a relaxed CeErTcPd crystal.

```
data_CeErTcPd
_chemical_formula_sum 'Ce4 Er4 Tc4 Pd4'
_cell_length_a 6.935
_cell_length_b 6.935
_cell_length_c 6.935
_cell_angle_alpha 90.00
_cell_angle_beta 90.00
_cell_angle_gamma 90.00
_space_group_name_H-M_alt 'F -4 3 m'
_space_group_IT_number 216
_space_group_name_Hall 'F -4 2 3'
loop_
_atom_site_label
_atom_site_fract_x
_atom_site_fract_y
_atom_site_fract_z
Ce1 0.000 0.000 0.000
Er1 0.000 0.000 0.500
Tc1 0.250 0.250 0.250
Pd1 0.250 0.250 0.750
```

Properties
Magnetization = 0.00 μB per formula unit


Entry 3:
DFT (PBE-GGA) results for a relaxed CePm8Er4 crystal.

```
data_CePm8Er4
_chemical_formula_sum 'Ce3 Pm24 Er12'
_cell_length_a 7.3617
_cell_length_b 7.3617
_cell_length_c 27.3544
_cell_angle_alpha 90.00
_cell_angle_beta 90.00
_cell_angle_gamma 120.00
_space_group_name_H-M_alt 'R -3 m'
_space_group_IT_number 166
_space_group_name_Hall '-R 3 2"'
loop_
_atom_site_label
_atom_site_fract_x
_atom_site_fract_y
_atom_site_fract_z
Ce1 0.0000 0.0000 0.0000
Pm1 0.0000 0.0000 0.2788
Pm2 0.0275 0.5137 0.2692
Er1 0.0000 0.0000 0.5000
Er2 0.0000 0.5000 0.5000
```

Properties
Magnetization = 0.00 μB per formula unit


What are the VASP energy values for these records? In order: -88.61, -110.43, -180.73 eV for the cell shown.